La2CoCSe | the Alexandria database | PBE-GGA | optimized geometry; spin magnetization = 0.0 μB/cell; formation energy without anion corrections = -0.825 eV per atom
1.0
5.327 0.000 0.000
0.000 5.327 0.000
0.000 0.000 3.662
La Co C Se
2 1 1 1
Cartesian
0.000 2.663 0.000
2.663 0.000 0.000
0.000 0.000 1.831
0.000 0.000 0.000
2.663 2.663 1.831